[1]
Material: NdGdMg4
Method: DFT, PBE
State: optimized geometry

It has space group F-43m (No. 216), with a = 8.624 Å, b = 8.624 Å, c = 8.624 Å, α = 90.00°, β = 90.00° and γ = 90.00°. Symmetry generates all atoms from Nd at (0.000, 0.000, 0.000), Gd at (0.250, 0.250, 0.750) and Mg at (0.125, 0.125, 0.375).

For the density of states at the Fermi level, the calculation gives 23.06 states/eV per cell. For the formation energy from the elements, the calculation gives -102 meV/atom. Its size of the total moment is 7.65 μB/f.u. The total energy comes out at -4.31 eV per atom.

=====

[2]
Material: Cs4Pu3BrO12
Method: DFT, PBE
State: optimized geometry

It has space group Im-3m (No. 229), with a = 9.113 Å, b = 9.113 Å, c = 9.113 Å, α = 90.00°, β = 90.00° and γ = 90.00°. Symmetry generates all atoms from Cs at (0.250, 0.250, 0.250), Pu at (0.000, 0.000, 0.500), Br at (0.000, 0.000, 0.000), O at (0.000, 0.000, 0.302) and O at (0.000, 0.250, 0.500).

The formation energy (no corrections) comes out at -2.039 eV/atom. For the density of states at the Fermi level, the calculation gives 29.50 states/eV per cell. Its size of the total moment is 4.53 μB/f.u. The total energy comes out at -7.42 eV per atom.